Record 1
Computed, not measured: MgSc2Pd2 after structural relaxation at the PBE level of DFT.

It has space group I4/mmm (No. 139), with a = 3.916 Å, b = 3.916 Å, c = 13.833 Å, α = 90.00°, β = 90.00° and γ = 90.00°. Symmetry generates all atoms from Mg at (0.000, 0.000, 0.000), Sc at (0.000, 0.000, 0.383) and Pd at (0.000, 0.500, 0.250).

The formation energy comes out at -0.385 eV per atom. The density of states at the Fermi level comes out at 3.11 states/eV/cell. The calculation puts the density at 5.12 g/cm3.



Record 2
Computed, not measured: MgScPd2 after structural relaxation at the PBE level of DFT.

It has space group I-42d (No. 122), with a = 7.096 Å, b = 7.096 Å, c = 5.920 Å, α = 90.00°, β = 90.00° and γ = 90.00°. Symmetry generates all atoms from Mg at (0.000, 0.000, 0.000), Sc at (0.000, 0.000, 0.500) and Pd at (0.249, 0.250, 0.625).

The formation energy comes out at -0.462 eV per atom. The density of states at the Fermi level comes out at 6.53 states/eV/cell. The calculation puts the density at 6.29 g/cm3.



Record 3
Computed, not measured: MgScPd3 after structural relaxation at the PBE level of DFT.

It has space group Cmmm (No. 65), with a = 7.616 Å, b = 15.580 Å, c = 3.021 Å, α = 90.00°, β = 90.00° and γ = 90.00°. Symmetry generates all atoms from Mg at (0.227, 0.000, 0.000), Sc at (0.000, 0.275, 0.000), Pd at (0.000, 0.417, 0.500) and Pd at (0.184, 0.158, 0.500).

The formation energy comes out at -0.628 eV per atom. The density of states at the Fermi level comes out at 8.14 states/eV/cell. The calculation puts the density at 7.20 g/cm3.



Record 4
Computed, not measured: MgSc5Pd3 after structural relaxation at the PBE level of DFT.

It has space group P6_3/mcm (No. 193), with a = 8.2669 Å, b = 8.2669 Å, c = 6.0421 Å, α = 90.00°, β = 90.00° and γ = 120.00°. Symmetry generates all atoms from Mg at (0.0000, 0.0000, 0.0000), Sc at (0.0000, 0.3291, 0.2500), Sc at (0.3333, 0.6667, 0.0000) and Pd at (0.0000, 0.3455, 0.7500).

The formation energy comes out at -0.551 eV per atom. The density of states at the Fermi level comes out at 17.93 states/eV/cell. The calculation puts the density at 5.28 g/cm3.



Record 5
Computed, not measured: MgScPd4 after structural relaxation at the PBE level of DFT.

It has space group P4/mmm (No. 123), with a = 4.277 Å, b = 4.277 Å, c = 6.104 Å, α = 90.00°, β = 90.00° and γ = 90.00°. Symmetry generates all atoms from Mg at (0.000, 0.000, 0.000), Sc at (0.500, 0.500, 0.500) and Pd at (0.000, 0.500, 0.245).

The formation energy comes out at -0.405 eV per atom. The density of states at the Fermi level comes out at 2.38 states/eV/cell. The calculation puts the density at 7.36 g/cm3.



Record 6
Computed, not measured: Mg2ScPd3 after structural relaxation at the PBE level of DFT.

It has space group Cmmm (No. 65), with a = 4.583 Å, b = 13.737 Å, c = 6.431 Å, α = 90.00°, β = 90.00° and γ = 90.00°. Symmetry generates all atoms from Mg at (0.000, 0.000, 0.000), Mg at (0.000, 0.000, 0.500), Mg at (0.000, 0.331, 0.000), Sc at (0.000, 0.337, 0.500), Pd at (0.000, 0.167, 0.251) and Pd at (0.000, 0.500, 0.241).

The formation energy comes out at -0.804 eV per atom. The density of states at the Fermi level comes out at 11.24 states/eV/cell. The calculation puts the density at 6.77 g/cm3.



Record 7
Computed, not measured: MgSc3Pd12 after structural relaxation at the PBE level of DFT.

It has space group P4/mmm (No. 123), with a = 3.997 Å, b = 3.997 Å, c = 16.006 Å, α = 90.00°, β = 90.00° and γ = 90.00°. Symmetry generates all atoms from Mg at (0.000, 0.000, 0.000), Sc at (0.000, 0.000, 0.248), Sc at (0.000, 0.000, 0.500), Pd at (0.000, 0.500, 0.124), Pd at (0.000, 0.500, 0.375), Pd at (0.500, 0.500, 0.000), Pd at (0.500, 0.500, 0.249) and Pd at (0.500, 0.500, 0.500).

The formation energy comes out at -0.748 eV per atom. The density of states at the Fermi level comes out at 16.61 states/eV/cell. The calculation puts the density at 9.33 g/cm3.



Record 8
Computed, not measured: MgScPd3 after structural relaxation at the PBE level of DFT.

It has space group Pm-3m (No. 221), with a = 4.600 Å, b = 4.600 Å, c = 4.600 Å, α = 90.00°, β = 90.00° and γ = 90.00°. Symmetry generates all atoms from Mg at (0.000, 0.000, 0.000), Sc at (0.500, 0.500, 0.500) and Pd at (0.000, 0.000, 0.500).

The formation energy comes out at -0.007 eV per atom. The density of states at the Fermi level comes out at 5.32 states/eV/cell. The calculation puts the density at 6.63 g/cm3.



Record 9
Computed, not measured: Mg3Sc2Pd4 after structural relaxation at the PBE level of DFT.

It has space group C2/m (No. 12), with a = 7.919 Å, b = 4.585 Å, c = 8.760 Å, α = 90.00°, β = 90.18° and γ = 90.00°. Symmetry generates all atoms from Mg at (0.000, 0.000, 0.000), Mg at (0.167, 0.500, 0.423), Sc at (0.166, 0.500, 0.791), Pd at (0.000, 0.000, 0.334) and Pd at (0.167, 0.500, 0.110).

The formation energy comes out at -0.718 eV per atom. The density of states at the Fermi level comes out at 9.17 states/eV/cell. The calculation puts the density at 6.15 g/cm3.



Record 10
Computed, not measured: Mg3ScPd2 after structural relaxation at the PBE level of DFT.

It has space group C2/m (No. 12), with a = 15.228 Å, b = 3.985 Å, c = 8.687 Å, α = 90.00°, β = 115.45° and γ = 90.00°. Symmetry generates all atoms from Mg at (0.037, 0.000, 0.182), Mg at (0.161, 0.500, 0.987), Mg at (0.180, 0.500, 0.392), Sc at (0.118, 0.000, 0.630), Pd at (0.007, 0.500, 0.661) and Pd at (0.239, 0.000, 0.240).

The formation energy comes out at -0.520 eV per atom. The density of states at the Fermi level comes out at 13.72 states/eV/cell. The calculation puts the density at 4.61 g/cm3.



Record 11
Computed, not measured: MgScPd4 after structural relaxation at the PBE level of DFT.

It has space group C2/m (No. 12), with a = 9.478 Å, b = 3.679 Å, c = 5.980 Å, α = 90.00°, β = 109.42° and γ = 90.00°. Symmetry generates all atoms from Mg at (0.000, 0.000, 0.000), Sc at (0.000, 0.000, 0.500), Pd at (0.160, 0.500, 0.832) and Pd at (0.163, 0.500, 0.327).

The formation energy comes out at -0.683 eV per atom. The density of states at the Fermi level comes out at 3.96 states/eV/cell. The calculation puts the density at 8.36 g/cm3.



Record 12
Computed, not measured: Mg5ScPd3 after structural relaxation at the PBE level of DFT.

It has space group C2/m (No. 12), with a = 9.534 Å, b = 9.730 Å, c = 8.984 Å, α = 90.00°, β = 108.77° and γ = 90.00°. Symmetry generates all atoms from Mg at (0.000, 0.234, 0.000), Mg at (0.025, 0.236, 0.344), Mg at (0.243, 0.500, 0.910), Mg at (0.244, 0.500, 0.586), Sc at (0.247, 0.500, 0.249), Pd at (0.000, 0.000, 0.500), Pd at (0.000, 0.500, 0.000), Pd at (0.001, 0.000, 0.834) and Pd at (0.004, 0.500, 0.336).

The formation energy comes out at -0.377 eV per atom. The density of states at the Fermi level comes out at 15.89 states/eV/cell. The calculation puts the density at 4.09 g/cm3.



Record 13
Computed, not measured: Mg2ScPd3 after structural relaxation at the PBE level of DFT.

It has space group P4/mmm (No. 123), with a = 3.249 Å, b = 3.249 Å, c = 9.593 Å, α = 90.00°, β = 90.00° and γ = 90.00°. Symmetry generates all atoms from Mg at (0.000, 0.000, 0.162), Sc at (0.000, 0.000, 0.500), Pd at (0.500, 0.500, 0.000) and Pd at (0.500, 0.500, 0.331).

The formation energy comes out at -0.804 eV per atom. The density of states at the Fermi level comes out at 2.46 states/eV/cell. The calculation puts the density at 6.77 g/cm3.



Record 14
Computed, not measured: Mg2Sc2Pd after structural relaxation at the PBE level of DFT.

It has space group P4/mbm (No. 127), with a = 6.737 Å, b = 6.737 Å, c = 4.768 Å, α = 90.00°, β = 90.00° and γ = 90.00°. Symmetry generates all atoms from Mg at (0.144, 0.356, 0.000), Sc at (0.170, 0.670, 0.500) and Pd at (0.000, 0.000, 0.000).

The formation energy comes out at -0.126 eV per atom. The density of states at the Fermi level comes out at 13.49 states/eV/cell. The calculation puts the density at 3.76 g/cm3.



Record 15
Computed, not measured: Mg3ScPd6 after structural relaxation at the PBE level of DFT.

It has space group P2_1/m (No. 11), with a = 8.413 Å, b = 4.188 Å, c = 9.267 Å, α = 90.00°, β = 97.11° and γ = 90.00°. Symmetry generates all atoms from Mg at (0.051, 0.250, 0.397), Mg at (0.153, 0.750, 0.191), Mg at (0.254, 0.250, 0.978), Sc at (0.439, 0.250, 0.622), Pd at (0.043, 0.750, 0.898), Pd at (0.131, 0.250, 0.692), Pd at (0.246, 0.750, 0.491), Pd at (0.345, 0.250, 0.295), Pd at (0.348, 0.750, 0.791) and Pd at (0.440, 0.750, 0.092).

The formation energy comes out at -0.744 eV per atom. The density of states at the Fermi level comes out at 5.57 states/eV/cell. The calculation puts the density at 7.75 g/cm3.



Record 16
Computed, not measured: MgScPd3 after structural relaxation at the PBE level of DFT.

It has space group Pm-3m (No. 221), with a = 4.775 Å, b = 4.775 Å, c = 4.775 Å, α = 90.00°, β = 90.00° and γ = 90.00°. Symmetry generates all atoms from Mg at (0.000, 0.000, 0.000), Sc at (0.500, 0.500, 0.500) and Pd at (0.000, 0.500, 0.500).

The formation energy comes out at 0.091 eV per atom. The density of states at the Fermi level comes out at 2.08 states/eV/cell. The calculation puts the density at 5.93 g/cm3.



Record 17
Computed, not measured: Mg3ScPd3 after structural relaxation at the PBE level of DFT.

It has space group R3m (No. 160, hexagonal axes), with a = 9.0056 Å, b = 9.0056 Å, c = 5.5481 Å, α = 90.00°, β = 90.00° and γ = 120.00°. Symmetry generates all atoms from Mg at (0.1876, 0.3752, 0.0000), Sc at (0.0000, 0.0000, 0.7688) and Pd at (0.0008, 0.5004, 0.1883).

The formation energy comes out at -0.632 eV per atom. The density of states at the Fermi level comes out at 6.56 states/eV/cell. The calculation puts the density at 5.59 g/cm3.



Record 18
Computed, not measured: Mg8ScPd6 after structural relaxation at the PBE level of DFT.

It has space group R-3 (No. 148, hexagonal axes), with a = 7.7901 Å, b = 7.7901 Å, c = 16.5317 Å, α = 90.00°, β = 90.00° and γ = 120.00°. Symmetry generates all atoms from Mg at (0.0000, 0.0000, 0.1676), Mg at (0.0019, 0.3301, 0.7158), Sc at (0.0000, 0.0000, 0.5000) and Pd at (0.9995, 0.3354, 0.2162).

The formation energy comes out at -0.585 eV per atom. The density of states at the Fermi level comes out at 19.78 states/eV/cell. The calculation puts the density at 5.03 g/cm3.



Record 19
Computed, not measured: Mg3ScPd2 after structural relaxation at the PBE level of DFT.

It has space group Pmc2_1 (No. 26), with a = 3.974 Å, b = 8.456 Å, c = 6.843 Å, α = 90.00°, β = 90.00° and γ = 90.00°. Symmetry generates all atoms from Mg at (0.000, 0.081, 0.000), Mg at (0.000, 0.305, 0.396), Mg at (0.500, 0.186, 0.682), Sc at (0.500, 0.418, 0.070), Pd at (0.000, 0.392, 0.784) and Pd at (0.500, 0.117, 0.287).

The formation energy comes out at -0.571 eV per atom. The density of states at the Fermi level comes out at 7.97 states/eV/cell. The calculation puts the density at 4.78 g/cm3.



Record 20
Computed, not measured: Mg7ScPd4 after structural relaxation at the PBE level of DFT.

It has space group C2/m (No. 12), with a = 12.731 Å, b = 4.959 Å, c = 9.086 Å, α = 90.00°, β = 125.59° and γ = 90.00°. Symmetry generates all atoms from Mg at (0.000, 0.000, 0.000), Mg at (0.066, 0.500, 0.383), Mg at (0.191, 0.000, 0.633), Mg at (0.218, 0.500, 0.876), Sc at (0.000, 0.500, 0.000), Pd at (0.066, 0.000, 0.780) and Pd at (0.191, 0.000, 0.338).

The formation energy comes out at -0.296 eV per atom. The density of states at the Fermi level comes out at 13.30 states/eV/cell. The calculation puts the density at 4.56 g/cm3.



Record 21
Computed, not measured: MgSc4Pd5 after structural relaxation at the PBE level of DFT.

It has space group P4/mmm (No. 123), with a = 3.256 Å, b = 3.256 Å, c = 16.762 Å, α = 90.00°, β = 90.00° and γ = 90.00°. Symmetry generates all atoms from Mg at (0.000, 0.000, 0.000), Sc at (0.000, 0.000, 0.194), Sc at (0.000, 0.000, 0.398), Pd at (0.500, 0.500, 0.097), Pd at (0.500, 0.500, 0.296) and Pd at (0.500, 0.500, 0.500).

The formation energy comes out at -0.874 eV per atom. The density of states at the Fermi level comes out at 5.14 states/eV/cell. The calculation puts the density at 6.88 g/cm3.